Entry 1:
La2Al: optimized geometry, GGA-PBEsol.

Cell: 5.0617 5.0617 3.7168 Å, 90.00 90.00 120.00°
Closest atoms and distances in Å follow each position.
Sites, in units of the cell vectors:
La1 0.3333 0.6667 0.1739  3 Al 3.16, 3 La 3.20
La2 0.6667 0.3333 0.8261  3 Al 3.16, 3 La 3.20
Al1 0.0000 0.0000 0.5000  6 La 3.16

Results
- calculated formation energy (eV/atom) = -0.204
- magnetization (μB/f.u.) = 0.0
- V (Å³/atom) = 27.49
- energy (eV per formula unit) = -15.40

=====

Entry 2:
Li2CaHg: optimized geometry, GGA-PBEsol.

Cell: 5.3840 5.3840 5.3840 Å, 130.24 130.24 73.02°
Closest atoms and distances in Å follow each position.
Sites, in units of the cell vectors:
Li1 0.0000 0.0000 0.0000  4 Hg 3.13, 4 Li 3.13, 4 Ca 3.20
Li2 0.7500 0.2500 0.5000  4 Ca 3.13, 4 Li 3.13, 4 Hg 3.20
Ca1 0.5000 0.5000 0.0000  8 Li 3.13-3.20, 4 Hg 3.13
Hg1 0.2500 0.7500 0.5000  4 Ca 3.13, 8 Li 3.13-3.20

Results
- calculated formation energy (eV/atom) = -0.276
- magnetization (μB/f.u.) = 0.0
- V (Å³/atom) = 22.20
- energy (eV per formula unit) = -7.74

=====

Entry 3:
SmVO4: optimized geometry, GGA-PBEsol.

Cell: 6.7388 6.7388 6.7388 Å, 135.78 135.78 64.32°
Closest atoms and distances in Å follow each position.
Sites, in units of the cell vectors:
Sm1 0.3750 0.1250 0.2500  8 O 2.40-2.42
Sm2 0.6250 0.8750 0.7500  8 O 2.40-2.42
V1 0.1250 0.3750 0.7500  4 O 1.72
V2 0.8750 0.6250 0.2500  4 O 1.72
O1 0.0655 0.2031 0.3583  1 V 1.72
O2 0.2072 0.5655 0.3624  1 V 1.72
O3 0.2969 0.1552 0.8624  1 V 1.72
O4 0.3448 0.7072 0.1417  1 V 1.72
O5 0.6552 0.2928 0.8583  1 V 1.72
O6 0.7031 0.8448 0.1376  1 V 1.72
O7 0.7928 0.4345 0.6376  1 V 1.72
O8 0.9345 0.7969 0.6417  1 V 1.72

Results
- energy relative to the elements, uncorrected (eV/atom) = -3.0047
- magnetization (μB/f.u.) = 0.0
- V (Å³/atom) = 12.23
- energy (eV per formula unit) = -53.75

=====

Entry 4:
LaCoCu: optimized geometry, GGA-PBEsol.

Cell: 4.3570 4.3570 4.3570 Å, 60.00 60.00 60.00°
Closest atoms and distances in Å follow each position.
Sites, in units of the cell vectors:
La1 0.0000 0.0000 0.0000  4 Co 2.67
Co1 0.2500 0.2500 0.2500  4 La 2.67, 4 Cu 2.67
Cu1 0.5000 0.5000 0.5000  4 Co 2.67

Results
- calculated formation energy (eV/atom) = 0.250
- magnetization (μB/f.u.) = 0.7
- V (Å³/atom) = 19.50
- energy (eV per formula unit) = -16.67

=====

Entry 5:
CeHfO4: optimized geometry, GGA-PBEsol.

Cell: 7.3591 7.3960 10.5086 Å, 90.00 90.00 90.00°
Closest atoms and distances in Å follow each position.
Sites, in units of the cell vectors:
Ce1 0.0000 0.0026 0.0000  8 O 2.22-2.44
Ce2 0.0000 0.5043 0.9954  8 O 2.21-2.47
Ce3 0.2486 0.2463 0.7478  8 O 2.23-2.45
Ce4 0.2514 0.7537 0.2478  8 O 2.23-2.45
Ce5 0.5000 0.4957 0.4954  8 O 2.21-2.47
Ce6 0.5000 0.9974 0.5000  8 O 2.22-2.44
Ce7 0.7486 0.7537 0.2478  8 O 2.23-2.45
Ce8 0.7514 0.2463 0.7478  8 O 2.23-2.45
Hf1 0.0000 0.0217 0.4872  7 O 2.04-2.22
Hf2 0.0000 0.5036 0.4986  8 O 2.12-2.30
Hf3 0.2454 0.7452 0.7451  7 O 2.08-2.29
Hf4 0.2546 0.2548 0.2451  7 O 2.08-2.29
Hf5 0.5000 0.4964 0.9986  8 O 2.12-2.30
Hf6 0.5000 0.9783 0.9872  7 O 2.04-2.22
Hf7 0.7454 0.2548 0.2451  7 O 2.08-2.29
Hf8 0.7546 0.7452 0.7451  7 O 2.08-2.29
O1 0.0000 0.2471 0.8781  4 Ce 2.22-2.29
O2 0.0000 0.2484 0.1458  2 Hf 2.15, 1 Ce 2.38
O3 0.0000 0.2523 0.6228  2 Hf 2.22-2.27, 2 Ce 2.25, 1 O 2.46
O4 0.0000 0.2587 0.3885  2 Hf 2.04-2.15
O5 0.0000 0.7136 0.6492  3 Hf 2.08-2.22
O6 0.0000 0.7549 0.4006  2 Hf 2.12-2.17
O7 0.0000 0.7552 0.8773  2 Ce 2.23-2.24, 2 Hf 2.28, 1 O 2.42
O8 0.0000 0.7592 0.1301  4 Ce 2.23-2.36
O9 0.2275 0.9792 0.6099  2 Hf 2.14-2.24, 1 Ce 2.32
O10 0.2366 0.0168 0.3591  2 Hf 2.13-2.20, 1 Ce 2.27
O11 0.2403 0.4929 0.3588  2 Hf 2.13-2.30, 1 Ce 2.26
O12 0.2460 0.5039 0.6082  2 Hf 2.15-2.29, 1 Ce 2.21
O13 0.2540 0.4961 0.1082  2 Hf 2.15-2.29, 1 Ce 2.21
O14 0.2597 0.5071 0.8588  2 Hf 2.13-2.30, 1 Ce 2.26
O15 0.2634 0.9832 0.8591  2 Hf 2.13-2.20, 1 Ce 2.27
O16 0.2725 0.0208 0.1099  2 Hf 2.14-2.24, 1 Ce 2.32
O17 0.5000 0.2408 0.6301  4 Ce 2.23-2.36
O18 0.5000 0.2448 0.3773  2 Ce 2.23-2.24, 2 Hf 2.28, 1 O 2.42
O19 0.5000 0.2451 0.9006  2 Hf 2.12-2.17
O20 0.5000 0.2864 0.1492  3 Hf 2.08-2.22
O21 0.5000 0.7413 0.8885  2 Hf 2.04-2.15
O22 0.5000 0.7477 0.1228  2 Hf 2.22-2.27, 2 Ce 2.25, 1 O 2.46
O23 0.5000 0.7516 0.6458  2 Hf 2.15, 1 Ce 2.38
O24 0.5000 0.7529 0.3781  4 Ce 2.22-2.29
O25 0.7275 0.0208 0.1099  2 Hf 2.14-2.24, 1 Ce 2.32
O26 0.7366 0.9832 0.8591  2 Hf 2.13-2.20, 1 Ce 2.27
O27 0.7403 0.5071 0.8588  2 Hf 2.13-2.30, 1 Ce 2.26
O28 0.7460 0.4961 0.1082  2 Hf 2.15-2.29, 1 Ce 2.21
O29 0.7540 0.5039 0.6082  2 Hf 2.15-2.29, 1 Ce 2.21
O30 0.7597 0.4929 0.3588  2 Hf 2.13-2.30, 1 Ce 2.26
O31 0.7634 0.0168 0.3591  2 Hf 2.13-2.20, 1 Ce 2.27
O32 0.7725 0.9792 0.6099  2 Hf 2.14-2.24, 1 Ce 2.32

Results
- energy relative to the elements, uncorrected (eV/atom) = -3.4714
- magnetization (μB/f.u.) = 0.0
- V (Å³/atom) = 11.92
- energy (eV per formula unit) = -58.92

=====

Entry 6:
CdSbAs2: optimized geometry, GGA-PBEsol.

Cell: 4.9372 4.9372 4.9372 Å, 60.00 60.00 60.00°
Closest atoms and distances in Å follow each position.
Sites, in units of the cell vectors:
Cd1 0.0000 0.0000 0.0000  4 As 3.02, 4 Sb 3.02
Sb1 0.2500 0.2500 0.2500  4 Cd 3.02, 4 As 3.02
As1 0.5000 0.5000 0.5000  4 As 3.02, 4 Sb 3.02
As2 0.7500 0.7500 0.7500  4 Cd 3.02, 4 As 3.02

Results
- energy relative to the elements, uncorrected (eV/atom) = 0.3017
- magnetization (μB/f.u.) = 0.0
- V (Å³/atom) = 21.27
- energy (eV per formula unit) = -14.76

=====

Entry 7:
Tm2O3: optimized geometry, GGA-PBEsol.

Cell: 8.9648 8.9648 8.9648 Å, 109.47 109.47 109.47°
Closest atoms and distances in Å follow each position.
Sites, in units of the cell vectors:
Tm1 0.0000 0.0000 0.0000  6 O 2.23
Tm2 0.0000 0.5000 0.5000  6 O 2.23
Tm3 0.0334 0.7834 0.2500  6 O 2.20-2.28
Tm4 0.2166 0.7500 0.9666  6 O 2.20-2.28
Tm5 0.2500 0.0334 0.7834  6 O 2.20-2.28
Tm6 0.2500 0.5334 0.2834  6 O 2.20-2.28
Tm7 0.2834 0.2500 0.5334  6 O 2.20-2.28
Tm8 0.4666 0.7166 0.7500  6 O 2.20-2.28
Tm9 0.5000 0.0000 0.5000  6 O 2.23
Tm10 0.5000 0.5000 0.0000  6 O 2.23
Tm11 0.5334 0.2834 0.2500  6 O 2.20-2.28
Tm12 0.7166 0.7500 0.4666  6 O 2.20-2.28
Tm13 0.7500 0.4666 0.7166  6 O 2.20-2.28
Tm14 0.7500 0.9666 0.2166  6 O 2.20-2.28
Tm15 0.7834 0.2500 0.0334  6 O 2.20-2.28
Tm16 0.9666 0.2166 0.7500  6 O 2.20-2.28
O1 0.0112 0.4681 0.7391  4 Tm 2.20-2.28
O2 0.0319 0.0431 0.2710  4 Tm 2.20-2.28
O3 0.0431 0.2710 0.0319  4 Tm 2.20-2.28
O4 0.2279 0.4569 0.4888  4 Tm 2.20-2.28
O5 0.2290 0.2721 0.7609  4 Tm 2.20-2.28
O6 0.2391 0.7710 0.7279  4 Tm 2.20-2.28
O7 0.2609 0.9888 0.5319  4 Tm 2.20-2.28
O8 0.2710 0.0319 0.0431  4 Tm 2.20-2.28
O9 0.2721 0.7609 0.2290  4 Tm 2.20-2.28
O10 0.4569 0.4888 0.2279  4 Tm 2.20-2.28
O11 0.4681 0.7391 0.0112  4 Tm 2.20-2.28
O12 0.4888 0.2279 0.4569  4 Tm 2.20-2.28
O13 0.5112 0.7721 0.5431  4 Tm 2.20-2.28
O14 0.5319 0.2609 0.9888  4 Tm 2.20-2.28
O15 0.5431 0.5112 0.7721  4 Tm 2.20-2.28
O16 0.7279 0.2391 0.7710  4 Tm 2.20-2.28
O17 0.7290 0.9681 0.9569  4 Tm 2.20-2.28
O18 0.7391 0.0112 0.4681  4 Tm 2.20-2.28
O19 0.7609 0.2290 0.2721  4 Tm 2.20-2.28
O20 0.7710 0.7279 0.2391  4 Tm 2.20-2.28
O21 0.7721 0.5431 0.5112  4 Tm 2.20-2.28
O22 0.9569 0.7290 0.9681  4 Tm 2.20-2.28
O23 0.9681 0.9569 0.7290  4 Tm 2.20-2.28
O24 0.9888 0.5319 0.2609  4 Tm 2.20-2.28

Results
- energy relative to the elements, uncorrected (eV/atom) = -3.7241
- magnetization (μB/f.u.) = 0.0
- V (Å³/atom) = 13.87
- energy (eV per formula unit) = -44.17

=====

Entry 8:
Re2AgSe: optimized geometry, GGA-PBEsol.

Cell: 3.0154 3.0154 6.5996 Å, 90.00 90.00 90.00°
Closest atoms and distances in Å follow each position.
Sites, in units of the cell vectors:
Re1 0.0000 0.0000 0.2181  4 Se 2.57, 4 Ag 2.83, 1 Re 2.88
Re2 0.0000 0.0000 0.7819  4 Se 2.57, 4 Ag 2.83, 1 Re 2.88
Ag1 0.5000 0.5000 0.5000  8 Re 2.83, 4 Ag 3.02
Se1 0.5000 0.5000 0.0000  8 Re 2.57

Results
- energy relative to the elements, uncorrected (eV/atom) = 0.7730
- magnetization (μB/f.u.) = 0.0
- V (Å³/atom) = 15.00
- energy (eV per formula unit) = -30.73

=====

Entry 9:
TiTc3Bi: optimized geometry, GGA-PBEsol.

Cell: 4.8370 4.8370 4.8370 Å, 90.00 90.00 90.00°
Closest atoms and distances in Å follow each position.
Sites, in units of the cell vectors:
Ti1 0.0000 0.0000 0.0000  12 Tc 3.42
Tc1 0.0000 0.5000 0.5000  2 Bi 2.42
Tc2 0.5000 0.0000 0.5000  2 Bi 2.42
Tc3 0.5000 0.5000 0.0000  2 Bi 2.42
Bi1 0.5000 0.5000 0.5000  6 Tc 2.42

Results
- calculated formation energy (eV/atom) = 2.369
- magnetization (μB/f.u.) = 1.5
- V (Å³/atom) = 22.63
- energy (eV per formula unit) = -34.56

=====

Entry 10:
Zn5Pt: optimized geometry, GGA-PBEsol.

Cell: 5.0793 5.0793 6.3256 Å, 103.88 103.88 31.89°
Closest atoms and distances in Å follow each position.
Sites, in units of the cell vectors:
Zn1 0.0000 0.0000 0.0000  10 Zn 2.62-2.79, 2 Pt 2.74
Zn2 0.0515 0.0515 0.6105  9 Zn 2.63-2.79, 3 Pt 2.66
Zn3 0.3894 0.3894 0.2737  1 Pt 2.65, 11 Zn 2.65-2.79
Zn4 0.6686 0.6686 0.3315  10 Zn 2.65-2.79, 2 Pt 2.67
Zn5 0.7246 0.7246 0.9429  10 Zn 2.62-2.79, 2 Pt 2.66
Pt1 0.3298 0.3298 0.6609  10 Zn 2.65-2.74, 2 Pt 2.79

Results
- calculated formation energy (eV/atom) = -0.226
- magnetization (μB/f.u.) = 0.0
- V (Å³/atom) = 13.91
- energy (eV per formula unit) = -16.23

=====

Entry 11:
Mn3CdIr: optimized geometry, GGA-PBEsol.

Cell: 4.7534 4.7534 4.7534 Å, 90.00 90.00 90.00°
Closest atoms and distances in Å follow each position.
Sites, in units of the cell vectors:
Mn1 0.0000 0.0000 0.5000  2 Ir 2.38
Mn2 0.0000 0.5000 0.0000  2 Ir 2.38
Mn3 0.5000 0.0000 0.0000  2 Ir 2.38
Cd1 0.5000 0.5000 0.5000  12 Mn 3.36
Ir1 0.0000 0.0000 0.0000  6 Mn 2.38

Results
- calculated formation energy (eV/atom) = 1.109
- magnetization (μB/f.u.) = 12.9
- V (Å³/atom) = 21.48
- energy (eV per formula unit) = -34.76

=====

Entry 12:
NiIr2Rh: optimized geometry, GGA-PBEsol.

Cell: 4.2204 4.2204 4.2204 Å, 60.00 60.00 60.00°
Closest atoms and distances in Å follow each position.
Sites, in units of the cell vectors:
Ni1 0.0000 0.0000 0.0000  8 Ir 2.58
Ir1 0.2500 0.2500 0.2500  4 Ni 2.58, 4 Rh 2.58
Ir2 0.7500 0.7500 0.7500  4 Ni 2.58, 4 Rh 2.58
Rh1 0.5000 0.5000 0.5000  8 Ir 2.58

Results
- calculated formation energy (eV/atom) = 0.354
- magnetization (μB/f.u.) = 0.0
- V (Å³/atom) = 13.29
- energy (eV per formula unit) = -32.53

=====

Q: Look up the V of the second one.
A: 22.20 Å³/atom

=====

Q: Among the records above, which one has the lowest energy?
A: CeHfO4